# 1
The following is a PBE-GGA calculation of NpGaIrPd after structural relaxation, from Alexandria via LeMat-Bulk.

Summary:
M_tot   0.85 μB/atom
ΔE_f   -0.322 eV/atom
Uncorrected energy   -7.828 eV/atom
Symmetry   F-43m, No. 216

Unit cell a=6.6002 b=6.6002 c=6.6002 alpha=90.00 beta=90.00 gamma=90.00
Sites, in units of the cell vectors:
Np1 0.0000 0.0000 0.0000
Np2 0.0000 0.5000 0.5000
Np3 0.5000 0.0000 0.5000
Np4 0.5000 0.5000 0.0000
Ga1 0.0000 0.0000 0.5000
Ga2 0.0000 0.5000 0.0000
Ga3 0.5000 0.0000 0.0000
Ga4 0.5000 0.5000 0.5000
Ir1 0.2500 0.2500 0.7500
Ir2 0.2500 0.7500 0.2500
Ir3 0.7500 0.2500 0.2500
Ir4 0.7500 0.7500 0.7500
Pd1 0.2500 0.2500 0.2500
Pd2 0.2500 0.7500 0.7500
Pd3 0.7500 0.2500 0.7500
Pd4 0.7500 0.7500 0.2500

# 2
The following is a PBE-GGA calculation of NpGa4Ir2Pd after structural relaxation, from Alexandria via LeMat-Bulk.

Summary:
M_tot   0.50 μB/atom
ΔE_f   -0.357 eV/atom
Uncorrected energy   -6.353 eV/atom
Symmetry   R-3m, No. 166

Unit cell a=8.8789 b=8.8789 c=8.8789 alpha=27.98 beta=27.98 gamma=27.98
Sites, in units of the cell vectors:
Np1 0.0000 0.0000 0.0000
Ga1 0.1289 0.1289 0.1289
Ga2 0.3971 0.3971 0.3971
Ga3 0.6029 0.6029 0.6029
Ga4 0.8711 0.8711 0.8711
Ir1 0.2345 0.2345 0.2345
Ir2 0.7655 0.7655 0.7655
Pd1 0.5000 0.5000 0.5000

# 3
The following is a PBE-GGA calculation of NpGa4IrPd2 after structural relaxation, from Alexandria via LeMat-Bulk.

Summary:
M_tot   0.49 μB/atom
ΔE_f   -0.380 eV/atom
Uncorrected energy   -5.916 eV/atom
Symmetry   R-3m, No. 166

Unit cell a=9.1147 b=9.1147 c=9.1147 alpha=27.14 beta=27.14 gamma=27.14
Sites, in units of the cell vectors:
Np1 0.0000 0.0000 0.0000
Ga1 0.1319 0.1319 0.1319
Ga2 0.3983 0.3983 0.3983
Ga3 0.6017 0.6017 0.6017
Ga4 0.8681 0.8681 0.8681
Ir1 0.5000 0.5000 0.5000
Pd1 0.2362 0.2362 0.2362
Pd2 0.7638 0.7638 0.7638

# 4
The following is a PBE-GGA calculation of NpGa3IrPt after structural relaxation, from Alexandria via LeMat-Bulk.

Summary:
M_tot   0.62 μB/atom
ΔE_f   -0.209 eV/atom
Uncorrected energy   -6.363 eV/atom
Symmetry   Cmcm, No. 63

Unit cell a=6.8156 b=6.8156 c=5.4614 alpha=90.00 beta=90.00 gamma=104.44
Sites, in units of the cell vectors:
Np1 0.1820 0.8180 0.7500
Np2 0.8180 0.1820 0.2500
Ga1 0.2448 0.2448 0.0000
Ga2 0.2448 0.2448 0.5000
Ga3 0.3196 0.6804 0.2500
Ga4 0.6804 0.3196 0.7500
Ga5 0.7552 0.7552 0.0000
Ga6 0.7552 0.7552 0.5000
Ir1 0.0842 0.9158 0.2500
Ir2 0.9158 0.0842 0.7500
Pt1 0.4361 0.5639 0.7500
Pt2 0.5639 0.4361 0.2500

# 5
The following is a PBE-GGA calculation of NpGa4IrPt2 after structural relaxation, from Alexandria via LeMat-Bulk.

Summary:
M_tot   0.47 μB/atom
ΔE_f   -0.431 eV/atom
Uncorrected energy   -6.180 eV/atom
Symmetry   R-3m, No. 166

Unit cell a=9.0712 b=9.0712 c=9.0712 alpha=27.31 beta=27.31 gamma=27.31
Sites, in units of the cell vectors:
Np1 0.0000 0.0000 0.0000
Ga1 0.1317 0.1317 0.1317
Ga2 0.3972 0.3972 0.3972
Ga3 0.6028 0.6028 0.6028
Ga4 0.8683 0.8683 0.8683
Ir1 0.5000 0.5000 0.5000
Pt1 0.2373 0.2373 0.2373
Pt2 0.7627 0.7627 0.7627

# 6
The following is a PBE-GGA calculation of NpGa4Ir2Pt after structural relaxation, from Alexandria via LeMat-Bulk.

Summary:
M_tot   0.41 μB/atom
ΔE_f   -0.304 eV/atom
Uncorrected energy   -6.406 eV/atom
Symmetry   R-3m, No. 166

Unit cell a=8.8703 b=8.8703 c=8.8703 alpha=28.17 beta=28.17 gamma=28.17
Sites, in units of the cell vectors:
Np1 0.0000 0.0000 0.0000
Ga1 0.1290 0.1290 0.1290
Ga2 0.3978 0.3978 0.3978
Ga3 0.6022 0.6022 0.6022
Ga4 0.8710 0.8710 0.8710
Ir1 0.2590 0.2590 0.2590
Ir2 0.7410 0.7410 0.7410
Pt1 0.5000 0.5000 0.5000

# 7
The following is a PBE-GGA calculation of NpGaIrPt after structural relaxation, from Alexandria via LeMat-Bulk.

Summary:
M_tot   0.75 μB/atom
ΔE_f   -0.371 eV/atom
Uncorrected energy   -8.089 eV/atom
Symmetry   F-43m, No. 216

Unit cell a=6.6120 b=6.6120 c=6.6120 alpha=90.00 beta=90.00 gamma=90.00
Sites, in units of the cell vectors:
Np1 0.0000 0.0000 0.0000
Np2 0.0000 0.5000 0.5000
Np3 0.5000 0.0000 0.5000
Np4 0.5000 0.5000 0.0000
Ga1 0.0000 0.0000 0.5000
Ga2 0.0000 0.5000 0.0000
Ga3 0.5000 0.0000 0.0000
Ga4 0.5000 0.5000 0.5000
Ir1 0.2500 0.2500 0.2500
Ir2 0.2500 0.7500 0.7500
Ir3 0.7500 0.2500 0.7500
Ir4 0.7500 0.7500 0.2500
Pt1 0.2500 0.2500 0.7500
Pt2 0.2500 0.7500 0.2500
Pt3 0.7500 0.2500 0.2500
Pt4 0.7500 0.7500 0.7500

# 8
The following is a PBE-GGA calculation of PuNpGaIr after structural relaxation, from Alexandria via LeMat-Bulk.

Summary:
M_tot   2.25 μB/atom
ΔE_f   -0.305 eV/atom
Uncorrected energy   -10.095 eV/atom
Symmetry   F-43m, No. 216

Unit cell a=6.7433 b=6.7433 c=6.7433 alpha=90.00 beta=90.00 gamma=90.00
Sites, in units of the cell vectors:
Pu1 0.0000 0.0000 0.0000
Pu2 0.0000 0.5000 0.5000
Pu3 0.5000 0.0000 0.5000
Pu4 0.5000 0.5000 0.0000
Np1 0.2500 0.2500 0.7500
Np2 0.2500 0.7500 0.2500
Np3 0.7500 0.2500 0.2500
Np4 0.7500 0.7500 0.7500
Ga1 0.2500 0.2500 0.2500
Ga2 0.2500 0.7500 0.7500
Ga3 0.7500 0.2500 0.7500
Ga4 0.7500 0.7500 0.2500
Ir1 0.0000 0.0000 0.5000
Ir2 0.0000 0.5000 0.0000
Ir3 0.5000 0.0000 0.0000
Ir4 0.5000 0.5000 0.5000

# 9
The following is a PBE-GGA calculation of NpGaIrRh after structural relaxation, from Alexandria via LeMat-Bulk.

Summary:
M_tot   0.77 μB/atom
ΔE_f   -0.392 eV/atom
Uncorrected energy   -8.437 eV/atom
Symmetry   F-43m, No. 216

Unit cell a=6.5268 b=6.5268 c=6.5268 alpha=90.00 beta=90.00 gamma=90.00
Sites, in units of the cell vectors:
Np1 0.0000 0.0000 0.0000
Np2 0.0000 0.5000 0.5000
Np3 0.5000 0.0000 0.5000
Np4 0.5000 0.5000 0.0000
Ga1 0.0000 0.0000 0.5000
Ga2 0.0000 0.5000 0.0000
Ga3 0.5000 0.0000 0.0000
Ga4 0.5000 0.5000 0.5000
Ir1 0.2500 0.2500 0.7500
Ir2 0.2500 0.7500 0.2500
Ir3 0.7500 0.2500 0.2500
Ir4 0.7500 0.7500 0.7500
Rh1 0.2500 0.2500 0.2500
Rh2 0.2500 0.7500 0.7500
Rh3 0.7500 0.2500 0.7500
Rh4 0.7500 0.7500 0.2500

# 10
The following is a PBE-GGA calculation of NpGa4Ir2Rh after structural relaxation, from Alexandria via LeMat-Bulk.

Summary:
M_tot   0.52 μB/atom
ΔE_f   -0.397 eV/atom
Uncorrected energy   -6.662 eV/atom
Symmetry   R-3m, No. 166

Unit cell a=8.8850 b=8.8850 c=8.8850 alpha=27.74 beta=27.74 gamma=27.74
Sites, in units of the cell vectors:
Np1 0.0000 0.0000 0.0000
Ga1 0.1311 0.1311 0.1311
Ga2 0.3985 0.3985 0.3985
Ga3 0.6015 0.6015 0.6015
Ga4 0.8689 0.8689 0.8689
Ir1 0.2363 0.2363 0.2363
Ir2 0.7637 0.7637 0.7637
Rh1 0.5000 0.5000 0.5000

# 11
The following is a PBE-GGA calculation of NpGa4Ir2Ru after structural relaxation, from Alexandria via LeMat-Bulk.

Summary:
M_tot   0.52 μB/atom
ΔE_f   -0.310 eV/atom
Uncorrected energy   -6.816 eV/atom
Symmetry   R-3m, No. 166

Unit cell a=8.8603 b=8.8603 c=8.8603 alpha=27.81 beta=27.81 gamma=27.81
Sites, in units of the cell vectors:
Np1 0.0000 0.0000 0.0000
Ga1 0.1321 0.1321 0.1321
Ga2 0.3994 0.3994 0.3994
Ga3 0.6006 0.6006 0.6006
Ga4 0.8679 0.8679 0.8679
Ir1 0.2395 0.2395 0.2395
Ir2 0.7605 0.7605 0.7605
Ru1 0.5000 0.5000 0.5000

# 12
The following is a PBE-GGA calculation of SmNpGa5Ir2 after structural relaxation, from Alexandria via LeMat-Bulk.

Summary:
M_tot   0.51 μB/atom
ΔE_f   -0.197 eV/atom
Uncorrected energy   -5.810 eV/atom
Symmetry   P4/mmm, No. 123

Unit cell a=4.7860 b=4.7860 c=7.8211 alpha=90.00 beta=90.00 gamma=90.00
Sites, in units of the cell vectors:
Sm1 0.0000 0.0000 0.0000
Np1 0.0000 0.0000 0.5000
Ga1 0.0000 0.5000 0.2570
Ga2 0.0000 0.5000 0.7430
Ga3 0.5000 0.0000 0.2570
Ga4 0.5000 0.0000 0.7430
Ga5 0.5000 0.5000 0.0000
Ir1 0.5000 0.5000 0.3231
Ir2 0.5000 0.5000 0.6769

Number 1: N(E_F) 7.23 states/eV/f.u.. Number 2: N(E_F) 13.00 states/eV/f.u.. Number 3: N(E_F) 10.24 states/eV/f.u.. Number 4: N(E_F) 9.04 states/eV/f.u.. Number 5: N(E_F) 10.07 states/eV/f.u.. Number 6: N(E_F) 12.57 states/eV/f.u.. Number 7: N(E_F) 7.30 states/eV/f.u.. Number 8: N(E_F) 7.10 states/eV/f.u.. Number 9: N(E_F) 7.31 states/eV/f.u.. Number 10: N(E_F) 11.64 states/eV/f.u.. Number 11: N(E_F) 13.27 states/eV/f.u.. Number 12: N(E_F) 11.22 states/eV/f.u..